{
  "formula": "Fe2CoNi",
  "functional": "GGA-PBE",
  "state": "relaxed",
  "e_above_lowest_polymorph_ev_per_fu": 0.09,
  "crystal_system": "orthorhombic",
  "final_energy_ev_per_cell": -119.08,
  "formation_enthalpy_0k_ev_per_atom": 0.011,
  "lattice_angstrom": [[-0.624, 3.678, -1.712], [-3.284, 1.082, 3.521], [6.650, 3.513, 5.123]],
  "species": ["Fe", "Fe", "Fe", "Fe", "Fe", "Fe", "Fe", "Fe", "Co", "Co", "Co", "Co", "Ni", "Ni", "Ni", "Ni"],
  "fractional_positions": [[0.250, 0.477, 0.318], [0.750, 0.523, 0.682], [0.750, 0.977, 0.182], [0.250, 0.023, 0.818], [0.250, 0.696, 0.072], [0.250, 0.804, 0.572], [0.750, 0.196, 0.428], [0.750, 0.304, 0.928], [0.250, 0.308, 0.568], [0.750, 0.808, 0.932], [0.750, 0.692, 0.432], [0.250, 0.192, 0.068], [0.750, 0.475, 0.175], [0.250, 0.525, 0.825], [0.250, 0.975, 0.325], [0.750, 0.025, 0.675]]
}

***

{
  "formula": "MnMo2Au",
  "functional": "GGA-PBE",
  "state": "relaxed",
  "e_above_lowest_polymorph_ev_per_fu": 0.01,
  "crystal_system": "orthorhombic",
  "final_energy_ev_per_cell": -33.43,
  "formation_enthalpy_0k_ev_per_atom": 0.170,
  "lattice_angstrom": [[-0.810, -0.001, -2.615], [2.136, -1.705, 0.159], [-5.436, -6.655, 1.686]],
  "species": ["Au", "Mn", "Mo", "Mo"],
  "fractional_positions": [[0.000, 0.000, 0.510], [0.500, 0.500, 0.761], [0.000, 0.000, 0.990], [0.500, 0.500, 0.239]]
}

***

{
  "formula": "KMnIBr2",
  "functional": "GGA-PBE",
  "state": "relaxed",
  "e_above_lowest_polymorph_ev_per_fu": 0.00,
  "crystal_system": "monoclinic",
  "final_energy_ev_per_cell": -40.83,
  "e_form_raw_ev_per_atom": -1.05,
  "lattice_angstrom": [[5.689, 0.000, 0.000], [0.000, 8.200, -0.931], [0.000, -1.647, 9.347]],
  "species": ["K", "K", "Mn", "Mn", "I", "I", "Br", "Br", "Br", "Br"],
  "fractional_positions": [[0.750, 0.283, 0.629], [0.250, 0.717, 0.371], [0.250, 0.920, 0.844], [0.750, 0.080, 0.156], [0.750, 0.414, 0.287], [0.250, 0.586, 0.713], [0.750, 0.958, 0.878], [0.250, 0.042, 0.122], [0.250, 0.081, 0.659], [0.750, 0.919, 0.341]]
}

***

{
  "formula": "K2Mn2CrS4",
  "functional": "GGA-PBE",
  "state": "relaxed",
  "crystal_system": "monoclinic",
  "final_energy_ev_per_cell": -53.47,
  "e_form_raw_ev_per_atom": -0.76,
  "lattice_angstrom": [[-2.565, 2.365, 1.463], [1.794, -2.172, 6.658], [6.075, 5.133, -2.540]],
  "species": ["K", "K", "Mn", "Mn", "Cr", "S", "S", "S", "S"],
  "fractional_positions": [[0.122, 0.522, 0.244], [0.878, 0.478, 0.756], [0.672, 0.997, 0.344], [0.328, 0.003, 0.656], [0.000, 0.000, 0.000], [0.227, 0.206, 0.454], [0.773, 0.794, 0.546], [0.526, 0.800, 0.052], [0.474, 0.200, 0.948]]
}

***

{
  "formula": "Ac2TeIN",
  "functional": "GGA-PBE",
  "state": "relaxed",
  "crystal_system": "monoclinic",
  "final_energy_ev_per_cell": -57.40,
  "e_form_raw_ev_per_atom": -1.49,
  "lattice_angstrom": [[4.369, 0.000, 0.000], [2.185, 10.359, 0.260], [2.185, 1.928, 8.456]],
  "species": ["Ac", "Ac", "Ac", "Ac", "Te", "Te", "I", "I", "N", "N"],
  "fractional_positions": [[0.394, 0.866, 0.345], [0.606, 0.134, 0.655], [0.890, 0.167, 0.054], [0.110, 0.833, 0.946], [0.765, 0.808, 0.662], [0.235, 0.192, 0.338], [0.391, 0.393, 0.825], [0.609, 0.607, 0.175], [0.055, 0.074, 0.815], [0.945, 0.926, 0.185]]
}

***

{
  "formula": "KAcCd",
  "functional": "GGA-PBE",
  "state": "relaxed",
  "e_above_lowest_polymorph_ev_per_fu": 0.34,
  "crystal_system": "tetragonal",
  "final_energy_ev_per_cell": -6.06,
  "formation_enthalpy_0k_ev_per_atom": 0.020,
  "lattice_angstrom": [[-0.529, -3.195, -2.403], [3.594, 0.682, -1.697], [1.967, -3.469, 7.563]],
  "species": ["Ac", "K", "Cd"],
  "fractional_positions": [[0.295, 0.295, 0.589], [0.025, 0.025, 0.050], [0.681, 0.681, 0.361]]
}

***

{
  "formula": "CeTmTl2Se4",
  "functional": "GGA-PBE",
  "state": "relaxed",
  "crystal_system": "monoclinic",
  "final_energy_ev_per_cell": -39.78,
  "e_form_raw_ev_per_atom": -1.34,
  "lattice_angstrom": [[-1.734, -1.412, -3.603], [-1.087, -6.580, 3.103], [-6.626, 4.487, 1.430]],
  "species": ["Ce", "Tm", "Tl", "Tl", "Se", "Se", "Se", "Se"],
  "fractional_positions": [[0.500, 0.500, 0.000], [0.000, 0.000, 0.000], [0.500, 0.000, 0.500], [0.000, 0.500, 0.500], [0.500, 0.224, 0.203], [0.500, 0.776, 0.797], [0.000, 0.254, 0.793], [0.000, 0.746, 0.207]]
}

***

{
  "formula": "Ce2Sm3Y6Ho",
  "functional": "GGA-PBE",
  "state": "relaxed",
  "crystal_system": "monoclinic",
  "final_energy_ev_per_cell": -68.83,
  "formation_enthalpy_0k_ev_per_atom": 0.047,
  "lattice_angstrom": [[-4.280, -3.068, -3.265], [4.440, -3.121, 2.990], [-6.823, 1.465, 9.524]],
  "species": ["Ce", "Ce", "Sm", "Sm", "Sm", "Y", "Y", "Y", "Y", "Y", "Y", "Ho"],
  "fractional_positions": [[0.334, 0.666, 0.000], [0.666, 0.334, 0.000], [0.166, 0.834, 0.500], [0.834, 0.166, 0.500], [0.500, 0.500, 0.500], [0.917, 0.582, 0.753], [0.747, 0.747, 0.247], [0.083, 0.418, 0.247], [0.582, 0.917, 0.753], [0.253, 0.253, 0.753], [0.418, 0.083, 0.247], [0.000, 0.000, 0.000]]
}

***

Listing magnetization for the structures above in their given order: 1.951, 0.664, 1.000, 1.557, 0.000, 0.001, 0.126, 0.160 μB per atom.